(1)
A plane-wave DFT calculation with PBE-GGA was carried out for Co2ReHg after structural relaxation.

```
4
Lattice="2.7752 0.0000 0.0000 0.0000 2.7752 0.0000 0.0000 0.0000 7.4500" Properties=species:S:1:pos:R:3 pbc="T T T"
Co 0.0000 0.0000 0.0000
Co 1.3876 1.3876 1.5001
Re 1.3876 1.3876 5.8483
Hg 0.0000 0.0000 3.5375
```

Properties
M_tot in μB per formula unit: 2.8
Formation energy from the elements in eV per atom: 0.45

---

(2)
A plane-wave DFT calculation with PBE-GGA was carried out for Sr2LaBe after structural relaxation.

```
8
Lattice="-4.9659 4.9659 3.1339 4.9659 -4.9659 3.1339 4.9659 4.9659 -3.1339" Properties=species:S:1:pos:R:3 pbc="T T T"
Sr 7.4488 1.4878 -0.7835
Sr 1.4878 2.4829 0.7835
Sr -2.4829 3.4781 2.3504
Sr 3.4781 2.4829 3.9174
La 4.9659 0.0000 1.5669
La 0.0000 0.0000 3.1339
Be 0.0000 0.0000 0.0000
Be 0.0000 4.9659 1.5669
```

Properties
M_tot in μB per formula unit: 0.0
Formation energy from the elements in eV per atom: 0.52

---

(3)
A plane-wave DFT calculation with PBE-GGA was carried out for CsCaCdGa2 after structural relaxation.

```
5
Lattice="5.4027 0.0000 0.0000 0.0000 5.4027 0.0000 0.0000 0.0000 5.9661" Properties=species:S:1:pos:R:3 pbc="T T T"
Cs 0.0000 0.0000 0.0000
Ca 2.7014 2.7014 0.0000
Cd 2.7014 2.7014 2.9831
Ga 0.0000 2.7014 2.9831
Ga 2.7014 0.0000 2.9831
```

Properties
M_tot in μB per formula unit: 0.0
Formation energy from the elements in eV per atom: 0.22

---

(4)
A plane-wave DFT calculation with PBE-GGA was carried out for La2ScAl after structural relaxation.

```
4
Lattice="3.4472 -4.5968 0.0000 3.4472 4.5968 0.0000 0.0000 0.0000 3.5775" Properties=species:S:1:pos:R:3 pbc="T T T"
La 1.7236 2.2984 0.0000
La 1.7236 -2.2984 0.0000
Sc 0.0000 0.0000 1.7888
Al 3.4472 0.0000 1.7888
```

Properties
M_tot in μB per formula unit: 0.0
Formation energy from the elements in eV per atom: -0.09

---

(5)
A plane-wave DFT calculation with PBE-GGA was carried out for Ho6Fe2Si after structural relaxation.

```
18
Lattice="-4.6604 4.6891 4.8896 4.6604 -4.6891 4.8896 4.6604 4.6891 -4.8896" Properties=species:S:1:pos:R:3 pbc="T T T"
Ho 4.6604 2.7809 -2.6105
Ho 2.6015 1.7229 0.0000
Ho 6.7193 1.7229 0.0000
Ho 1.8812 4.6891 -1.7806
Ho 2.7792 0.0000 3.1089
Ho 0.0000 1.9083 2.2790
Ho 4.6604 2.7809 2.6105
Ho 1.8812 4.6891 1.7806
Ho 2.7792 0.0000 6.6702
Ho -2.0589 2.9662 4.8896
Ho 2.0589 2.9662 4.8896
Ho 0.0000 1.9083 7.5001
Fe 4.6604 0.0000 1.0739
Fe 0.0000 3.5775 0.0000
Fe 0.0000 5.8008 0.0000
Fe 0.0000 4.6891 3.8157
Si 0.0000 0.0000 0.0000
Si 0.0000 0.0000 4.8896
```

Properties
M_tot in μB per formula unit: 1.4
Formation energy without anion corrections in eV/atom: -0.1885

---

(6)
A plane-wave DFT calculation with PBE-GGA was carried out for HoBPt after structural relaxation.

```
6
Lattice="5.7852 -1.7303 0.0000 5.7852 1.7303 0.0000 -1.6524 0.0000 4.8219" Properties=species:S:1:pos:R:3 pbc="T T T"
Ho 0.8946 0.0000 1.4637
Ho 9.0234 0.0000 3.3583
B 1.2783 0.0000 4.1344
B 8.6397 0.0000 0.6875
Pt 4.1437 0.0000 1.1203
Pt 5.7743 0.0000 3.7016
```

Properties
M_tot in μB per formula unit: 0.0
Formation energy from the elements in eV per atom: -0.73